MgFeF2 | Alexandria | PBE+U | relaxed; offset from the most stable computed form = 216.5 kJ/mol of formula units; space-group type = Fm-3m (225); size of the total moment = 3.04 Bohr magnetons per cell; uncorrected energy = -16.422 eV/cell
1.0
0.000 2.920 2.920
2.920 0.000 2.920
2.920 2.920 0.000
Mg Fe F
1 1 2
Direct
0.000 0.000 0.000
0.500 0.500 0.500
0.250 0.250 0.250
0.750 0.750 0.750